VASP calculation (PBE+U) on CoINF2 after structural relaxation.

Calculated values
raw total energy = -3.963 eV per atom
volume = 14.77 Å³ per atom
total moment = 2.3 Bohr magnetons per cell
SG = P4/mmm, No. 123

Geometry as POSCAR:
```
CoINF2
1.0
3.770 0.000 0.000
0.000 3.770 0.000
0.000 0.000 5.197
Co I N F
1 1 1 2
direct
0.000 0.000 0.000
0.500 0.500 0.500
0.000 0.000 0.500
0.000 0.500 0.000
0.500 0.000 0.000
```